Below is crystalline VMo2F at its relaxed geometry, with properties calculated at the PBE+U level.

Energy relative to the lowest polymorph listed for this composition in eV/atom: 0.000
DOS(E_F) in states/eV/cell: 6.8
Total moment in μB/f.u.: 5.30

abc: 7.197 7.197 6.072
angles: 90.00 90.00 90.00
Space group I-42d (No. 122)
Symmetry-distinct sites (fractional):
1 V 0.000 0.000 0.000
2 Mo 0.192 0.250 0.625
3 F 0.000 0.000 0.500